{"formula": "Tl2SiCl", "functional": "meta-GGA SCAN", "state": "single point on PBEsol structure", "lattice_angstrom": [[1.653, 0.954, 9.982], [-1.653, 0.954, 9.982], [0.000, -1.908, 9.982]], "species": ["Tl", "Tl", "Si", "Cl"], "frac_coords": [[0.000, 0.000, 0.000], [0.235, 0.235, 0.235], [0.487, 0.487, 0.487], [0.760, 0.760, 0.760]], "sg": "R3m", "crystal_system": "trigonal", "energy_ev_per_atom": -40.51, "raw_formation_energy_ev_per_atom": 0.167}